[1]
A plane-wave DFT calculation with GGA-PBE was carried out for crystalline HfZnPd2 at its relaxed geometry.

Results
Its symmetry is P6_3/mmc (194). The spin magnetization comes out at 0.03 μB per cell. The formation energy is -0.500 eV per atom.

Cell lengths 4.4991, 4.4991, 8.0011 Å; angles 90.00, 90.00, 120.00 degrees
Closest atoms and distances in Å follow each position.
Fractional coordinates of all 8 atoms:
Hf 0.0000 0.0000 0.0000  6 Pd 2.69
Hf 0.0000 0.0000 0.5000  6 Pd 2.69
Zn 0.3333 0.6667 0.2500  8 Pd 2.69-2.91
Zn 0.6667 0.3333 0.7500  8 Pd 2.69-2.91
Pd 0.3333 0.6667 0.5863  1 Pd 2.62, 3 Hf 2.69, 4 Zn 2.69-2.91
Pd 0.3333 0.6667 0.9137  1 Pd 2.62, 3 Hf 2.69, 4 Zn 2.69-2.91
Pd 0.6667 0.3333 0.0863  1 Pd 2.62, 3 Hf 2.69, 4 Zn 2.69-2.91
Pd 0.6667 0.3333 0.4137  1 Pd 2.62, 3 Hf 2.69, 4 Zn 2.69-2.91

---

[2]
A plane-wave DFT calculation with GGA-PBE was carried out for crystalline Hf2ZnPd at its relaxed geometry.

Results
Its symmetry is F-43m (216). The spin magnetization comes out at 7.97 μB per cell. The formation energy is -0.068 eV per atom.

Cell lengths 6.6236, 6.6236, 6.6236 Å; angles 90.00, 90.00, 90.00 degrees
Closest atoms and distances in Å follow each position.
Fractional coordinates of all 16 atoms:
Hf 0.0000 0.0000 0.0000  4 Zn 2.87, 4 Hf 2.87
Hf 0.0000 0.5000 0.5000  4 Zn 2.87, 4 Hf 2.87
Hf 0.2500 0.2500 0.2500  4 Hf 2.87, 4 Pd 2.87
Hf 0.2500 0.7500 0.7500  4 Hf 2.87, 4 Pd 2.87
Hf 0.5000 0.0000 0.5000  4 Zn 2.87, 4 Hf 2.87
Hf 0.5000 0.5000 0.0000  4 Zn 2.87, 4 Hf 2.87
Hf 0.7500 0.2500 0.7500  4 Hf 2.87, 4 Pd 2.87
Hf 0.7500 0.7500 0.2500  4 Hf 2.87, 4 Pd 2.87
Zn 0.2500 0.2500 0.7500  4 Pd 2.87, 4 Hf 2.87
Zn 0.2500 0.7500 0.2500  4 Hf 2.87, 4 Pd 2.87
Zn 0.7500 0.2500 0.2500  4 Hf 2.87, 4 Pd 2.87
Zn 0.7500 0.7500 0.7500  4 Pd 2.87, 4 Hf 2.87
Pd 0.0000 0.0000 0.5000  4 Hf 2.87, 4 Zn 2.87
Pd 0.0000 0.5000 0.0000  4 Hf 2.87, 4 Zn 2.87
Pd 0.5000 0.0000 0.0000  4 Hf 2.87, 4 Zn 2.87
Pd 0.5000 0.5000 0.5000  4 Hf 2.87, 4 Zn 2.87

---

[3]
A plane-wave DFT calculation with GGA-PBE was carried out for crystalline HfZrZn2Pd4 at its relaxed geometry.

Results
Its symmetry is P4/mmm (123). The spin magnetization comes out at 0.02 μB per cell. The formation energy is -0.663 eV per atom.

Cell lengths 4.5414, 4.5414, 6.4302 Å; angles 90.00, 90.00, 90.00 degrees
Closest atoms and distances in Å follow each position.
Fractional coordinates of all 8 atoms:
Hf 0.0000 0.0000 0.0000  8 Pd 2.77
Zr 0.5000 0.5000 0.5000  8 Pd 2.79
Zn 0.0000 0.0000 0.5000  8 Pd 2.79
Zn 0.5000 0.5000 0.0000  8 Pd 2.77
Pd 0.0000 0.5000 0.2469  4 Zn 2.77-2.79, 2 Hf 2.77, 2 Zr 2.79
Pd 0.0000 0.5000 0.7531  4 Zn 2.77-2.79, 2 Hf 2.77, 2 Zr 2.79
Pd 0.5000 0.0000 0.2469  4 Zn 2.77-2.79, 2 Hf 2.77, 2 Zr 2.79
Pd 0.5000 0.0000 0.7531  4 Zn 2.77-2.79, 2 Hf 2.77, 2 Zr 2.79

---

[4]
A plane-wave DFT calculation with GGA-PBE was carried out for crystalline HfZrPd at its relaxed geometry.

Results
Its symmetry is F-43m (216). The spin magnetization comes out at 0.35 μB per cell. The formation energy is -0.093 eV per atom. The value obtained for the energy above the most stable polymorph in this dataset is 0.420 eV/atom.

Cell lengths 6.4590, 6.4590, 6.4590 Å; angles 90.00, 90.00, 90.00 degrees
Closest atoms and distances in Å follow each position.
Fractional coordinates of all 12 atoms:
Hf 0.0000 0.0000 0.0000  4 Pd 2.80
Hf 0.0000 0.5000 0.5000  4 Pd 2.80
Hf 0.5000 0.0000 0.5000  4 Pd 2.80
Hf 0.5000 0.5000 0.0000  4 Pd 2.80
Zr 0.0000 0.0000 0.5000  4 Pd 2.80
Zr 0.0000 0.5000 0.0000  4 Pd 2.80
Zr 0.5000 0.0000 0.0000  4 Pd 2.80
Zr 0.5000 0.5000 0.5000  4 Pd 2.80
Pd 0.2500 0.2500 0.2500  4 Zr 2.80, 4 Hf 2.80
Pd 0.2500 0.7500 0.7500  4 Zr 2.80, 4 Hf 2.80
Pd 0.7500 0.2500 0.7500  4 Zr 2.80, 4 Hf 2.80
Pd 0.7500 0.7500 0.2500  4 Zr 2.80, 4 Hf 2.80

---

Number 1: theoretical density 10.8 g cm⁻³. Number 2: theoretical density 12.1 g cm⁻³. Number 3: theoretical density 10.3 g cm⁻³. Number 4: theoretical density 9.3 g cm⁻³.